! PBE Mn2HS, relaxed; values from VASP
&SYSTEM
  ibrav = 0, nat = 8, ntyp = 3
/
ATOMIC_SPECIES
Mn 54.94 Mn.upf
H 1.01 H.upf
S 32.06 S.upf
CELL_PARAMETERS angstrom
-2.2686 2.2686 4.4280
2.2686 -2.2686 4.4280
2.2686 2.2686 -4.4280
ATOMIC_POSITIONS crystal
Mn 0.0402 0.6250 0.9152
Mn 0.3750 0.2902 0.4152
Mn 0.7098 0.1250 0.0848
Mn 0.8750 0.9598 0.5848
H 0.0000 0.0000 0.0000
H 0.7500 0.2500 0.5000
S 0.2500 0.7500 0.5000
S 0.5000 0.5000 0.0000
! Uncorrected energy in eV/cell: -51.4
! Space group: I-42d, No. 122
! Volume in A^3/atom: 11.39
! Excess energy over the best structure of this formula in the dataset in eV/f.u.: 0.000